First-principles (GGA+U) data for a relaxed structure of PrCrTeO2, as listed in the Alexandria database.

Its density of states at the Fermi level is 0.041 states/eV/atom. Its total energy is -7.028 eV/atom.

It has space group Cmcm (No. 63), with a = 5.876 Å, b = 11.899 Å, c = 5.718 Å, α = 90.00°, β = 90.00° and γ = 90.00°. The distinct sites, in fractional coordinates, are Pr at (0.000, 0.107, 0.250), Cr at (0.000, 0.495, 0.750), Te at (0.000, 0.263, 0.750) and O at (0.239, 0.500, 0.000).